[1]
Rb4Cd3Ag2 | PBE | relaxed

```
data_Rb4Cd3Ag2
_chemical_formula_sum 'Rb8 Cd6 Ag4'
_cell_length_a 18.122
_cell_length_b 4.956
_cell_length_c 8.470
_cell_angle_alpha 90.00
_cell_angle_beta 105.38
_cell_angle_gamma 90.00
_space_group_name_H-M_alt 'C 1 2/m 1'
_space_group_IT_number 12
loop_
_space_group_symop_operation_xyz
'x,y,z'
'-x,-y,-z'
'-x,y,-z'
'x,-y,z'
'x+1/2,y+1/2,z'
'-x+1/2,-y+1/2,-z'
'-x+1/2,y+1/2,-z'
'x+1/2,-y+1/2,z'
loop_
_atom_site_label
_atom_site_type_symbol
_atom_site_fract_x
_atom_site_fract_y
_atom_site_fract_z
Rb1 Rb 0.082 0.000 0.390
Rb2 Rb 0.231 0.500 0.186
Cd1 Cd 0.000 0.500 0.000
Cd2 Cd 0.096 0.500 0.763
Ag1 Ag 0.077 0.000 0.941
```

[2]
RbCd9Ag2 | PBE | relaxed

The distance to the lowest polymorph of the same formula comes out at 58.7 meV per atom.

```
data_RbCd9Ag2
_chemical_formula_sum 'Rb1 Cd9 Ag2'
_cell_length_a 9.4471
_cell_length_b 9.4471
_cell_length_c 3.8980
_cell_angle_alpha 90.00
_cell_angle_beta 90.00
_cell_angle_gamma 120.00
_space_group_name_H-M_alt 'P 6/m m m'
_space_group_IT_number 191
_space_group_name_Hall '-P 6 2'
loop_
_atom_site_label
_atom_site_type_symbol
_atom_site_fract_x
_atom_site_fract_y
_atom_site_fract_z
Rb1 Rb 0.0000 0.0000 0.0000
Cd1 Cd 0.0000 0.5000 0.0000
Cd2 Cd 0.1936 0.3873 0.5000
Ag1 Ag 0.3333 0.6667 0.0000
```

[3]
Rb2CdAg2 | PBE | relaxed

The distance to the lowest polymorph of the same formula comes out at 134.7 meV per atom.

```
data_Rb2CdAg2
_chemical_formula_sum 'Rb4 Cd2 Ag4'
_cell_length_a 3.986
_cell_length_b 3.986
_cell_length_c 22.867
_cell_angle_alpha 90.00
_cell_angle_beta 90.00
_cell_angle_gamma 90.00
_space_group_name_H-M_alt 'I 4/m m m'
_space_group_IT_number 139
_space_group_name_Hall '-I 4 2'
loop_
_atom_site_label
_atom_site_type_symbol
_atom_site_fract_x
_atom_site_fract_y
_atom_site_fract_z
Rb1 Rb 0.000 0.000 0.119
Cd1 Cd 0.000 0.000 0.500
Ag1 Ag 0.000 0.500 0.250
```

[4]
Rb4Cd2Ag | PBE | relaxed

The distance to the lowest polymorph of the same formula comes out at 0.0 meV per atom.

```
data_Rb4Cd2Ag
_chemical_formula_sum 'Rb8 Cd4 Ag2'
_cell_length_a 7.937
_cell_length_b 8.969
_cell_length_c 11.362
_cell_angle_alpha 71.63
_cell_angle_beta 69.70
_cell_angle_gamma 63.88
_space_group_name_H-M_alt 'P -1'
_space_group_IT_number 2
loop_
_space_group_symop_operation_xyz
'x,y,z'
'-x,-y,-z'
loop_
_atom_site_label
_atom_site_type_symbol
_atom_site_fract_x
_atom_site_fract_y
_atom_site_fract_z
Rb1 Rb 0.000 0.238 0.262
Rb2 Rb 0.059 0.748 0.136
Rb3 Rb 0.433 0.760 0.375
Rb4 Rb 0.500 0.239 0.260
Cd1 Cd 0.000 0.500 0.500
Cd2 Cd 0.335 0.375 0.947
Cd3 Cd 0.500 0.000 0.000
Ag1 Ag 0.158 0.132 0.556
```

[5]
Rb12Cd5Ag3 | PBE | relaxed

```
data_Rb12Cd5Ag3
_chemical_formula_sum 'Rb96 Cd40 Ag24'
_cell_length_a 21.660
_cell_length_b 21.660
_cell_length_c 21.660
_cell_angle_alpha 90.00
_cell_angle_beta 90.00
_cell_angle_gamma 90.00
_space_group_name_H-M_alt 'I a -3 d'
_space_group_IT_number 230
_space_group_name_Hall '-I 4bd 2c 3'
loop_
_atom_site_label
_atom_site_type_symbol
_atom_site_fract_x
_atom_site_fract_y
_atom_site_fract_z
Rb1 Rb 0.022 0.081 0.650
Cd1 Cd 0.000 0.000 0.000
Cd2 Cd 0.000 0.250 0.375
Ag1 Ag 0.000 0.250 0.125
```

[6]
RbCd4Ag2 | PBE | relaxed

```
data_RbCd4Ag2
_chemical_formula_sum 'Rb2 Cd8 Ag4'
_cell_length_a 8.778
_cell_length_b 8.778
_cell_length_c 4.592
_cell_angle_alpha 90.00
_cell_angle_beta 90.00
_cell_angle_gamma 90.00
_space_group_name_H-M_alt 'P 42/m n m'
_space_group_IT_number 136
_space_group_name_Hall '-P 4n 2n'
loop_
_atom_site_label
_atom_site_type_symbol
_atom_site_fract_x
_atom_site_fract_y
_atom_site_fract_z
Rb1 Rb 0.000 0.000 0.000
Cd1 Cd 0.090 0.347 0.500
Ag1 Ag 0.224 0.776 0.500
```

Table of ΔH_f (0 K) (meV/atom), in record order: -19; -14; 105; 15; 192; -60
Table of DOS at the Fermi energy (states/eV/cell), in record order: 8.5; 2.9; 5.2; 7.4; 209.0; 4.0